{
  "formula": "Zr6NO2",
  "functional": "PBE",
  "state": "optimized geometry",
  "raw_formation_energy_kj_per_mol_fu": -1370,
  "vol_a3_per_fu": 146.4,
  "spacegroup": "Pnnm",
  "dos_at_fermi_per_ev_cell": 11.622,
  "lattice": [[5.212, 0.000, 0.000], [0.000, 5.698, 0.000], [0.000, 0.000, 9.862]],
  "species": ["Zr", "Zr", "Zr", "Zr", "Zr", "Zr", "Zr", "Zr", "Zr", "Zr", "Zr", "Zr", "N", "N", "O", "O", "O", "O"],
  "fractional_positions": [[0.245, 0.175, 0.000], [0.248, 0.160, 0.332], [0.248, 0.160, 0.668], [0.252, 0.660, 0.168], [0.252, 0.660, 0.832], [0.255, 0.675, 0.500], [0.745, 0.325, 0.500], [0.748, 0.340, 0.168], [0.748, 0.340, 0.832], [0.752, 0.840, 0.332], [0.752, 0.840, 0.668], [0.755, 0.825, 0.000], [0.000, 0.000, 0.500], [0.500, 0.500, 0.000], [0.000, 0.500, 0.338], [0.000, 0.500, 0.662], [0.500, 0.000, 0.162], [0.500, 0.000, 0.838]]
}

{
  "formula": "LaCd2In",
  "functional": "PBE",
  "state": "optimized geometry",
  "vol_a3_per_fu": 106.5,
  "spacegroup": "Pmm2",
  "dos_at_fermi_per_ev_cell": 2.832,
  "ef_ev_per_fu": -0.956,
  "lattice": [[3.606, 0.000, 0.000], [0.000, 3.826, 0.000], [0.000, 0.000, 7.715]],
  "species": ["La", "Cd", "Cd", "In"],
  "fractional_positions": [[0.000, 0.000, 0.000], [0.000, 0.000, 0.509], [0.500, 0.500, 0.717], [0.500, 0.500, 0.284]]
}

For reference, density by record: 6.729 7.464 Mg/m³.